Record 1
HfReAu2 PBE relaxed; calculated volume = 17.7 A^3/atom; crystal system = cubic; formation energy = 202.7 meV/atom
1.0
0.000 3.281 3.281
3.281 0.000 3.281
3.281 3.281 0.000
Au Hf Re
2 1 1
direct
0.000 0.000 0.000 Au
0.250 0.250 0.250 Au
0.500 0.500 0.500 Hf
0.750 0.750 0.750 Re

Record 2
HfTlAuSeS2 PBE relaxed; calculated volume = 24.8 A^3/atom; crystal system = orthorhombic
1.0
1.904 -7.573 0.000
1.904 7.573 0.000
0.000 0.000 10.308
Au Hf S Se Tl
2 2 4 2 2
direct
0.106 0.894 0.250 Au
0.894 0.106 0.750 Au
0.500 0.500 0.000 Hf
0.500 0.500 0.500 Hf
0.115 0.885 0.021 S
0.115 0.885 0.479 S
0.885 0.115 0.521 S
0.885 0.115 0.979 S
0.446 0.554 0.250 Se
0.554 0.446 0.750 Se
0.776 0.224 0.250 Tl
0.224 0.776 0.750 Tl

Record 3
HfTlTeAuS2 PBE relaxed; calculated volume = 26.4 A^3/atom; crystal system = orthorhombic
1.0
1.901 -7.787 0.000
1.901 7.787 0.000
0.000 0.000 10.699
Au Hf S Te Tl
2 2 4 2 2
direct
0.946 0.054 0.250 Au
0.054 0.946 0.750 Au
0.500 0.500 0.000 Hf
0.500 0.500 0.500 Hf
0.890 0.110 0.037 S
0.890 0.110 0.463 S
0.110 0.890 0.537 S
0.110 0.890 0.963 S
0.585 0.415 0.250 Te
0.415 0.585 0.750 Te
0.273 0.727 0.250 Tl
0.727 0.273 0.750 Tl

Record 4
HfTlAu3S4 PBE relaxed; relative energy among the computed polymorphs = 0.00 eV per formula unit; calculated volume = 26.6 A^3/atom; crystal system = cubic
1.0
6.212 0.000 0.000
0.000 6.212 0.000
0.000 0.000 6.212
Au Hf S Tl
3 1 4 1
direct
0.500 0.000 0.000 Au
0.000 0.500 0.000 Au
0.000 0.000 0.500 Au
0.000 0.000 0.000 Hf
0.776 0.224 0.224 S
0.224 0.776 0.224 S
0.224 0.224 0.776 S
0.776 0.776 0.776 S
0.500 0.500 0.500 Tl

Record 5
HfTlAu3S4 PBE relaxed; relative energy among the computed polymorphs = 0.16 eV per formula unit; calculated volume = 25.5 A^3/atom; crystal system = monoclinic
1.0
-0.211 -5.365 -2.225
-2.015 -2.797 6.934
-9.770 3.415 -1.461
Au Hf S Tl
6 2 8 2
direct
0.002 0.250 0.159 Au
0.155 0.061 0.417 Au
0.155 0.439 0.417 Au
0.845 0.561 0.583 Au
0.845 0.939 0.583 Au
0.998 0.750 0.841 Au
0.588 0.250 0.284 Hf
0.412 0.750 0.716 Hf
0.341 0.250 0.069 S
0.812 0.508 0.254 S
0.812 0.992 0.254 S
0.516 0.750 0.494 S
0.484 0.250 0.506 S
0.188 0.008 0.746 S
0.188 0.492 0.746 S
0.659 0.750 0.931 S
0.330 0.750 0.126 Tl
0.670 0.250 0.874 Tl

Record 6
Hf3Sb5Au PBE relaxed; calculated volume = 27.3 A^3/atom; crystal system = hexagonal
1.0
-5.561 0.699 -1.905
3.366 -4.335 -2.219
-2.612 -4.993 5.793
Au Hf Sb
1 3 5
direct
0.000 0.000 0.000 Au
0.500 0.000 0.500 Hf
0.000 0.500 0.500 Hf
0.500 0.500 0.500 Hf
0.667 0.333 0.195 Sb
0.333 0.667 0.195 Sb
0.000 0.000 0.500 Sb
0.667 0.333 0.805 Sb
0.333 0.667 0.805 Sb

Record 7
Hf3Sb4Au4 PBE relaxed; calculated volume = 24.4 A^3/atom; crystal system = tetragonal
1.0
-3.249 3.249 6.344
3.249 -3.249 6.344
3.249 3.249 -6.344
Au Hf Sb
4 3 4
direct
0.614 0.152 0.000 Au
0.152 0.614 0.000 Au
0.848 0.848 0.462 Au
0.386 0.386 0.538 Au
0.000 0.000 0.000 Hf
0.750 0.250 0.500 Hf
0.250 0.750 0.500 Hf
0.243 0.243 0.000 Sb
0.757 0.757 0.000 Sb
0.500 0.000 0.500 Sb
0.000 0.500 0.500 Sb

Record 8
Hf2SbAu PBE relaxed; calculated volume = 21.4 A^3/atom; crystal system = cubic
1.0
0.000 3.497 3.497
3.497 0.000 3.497
3.497 3.497 0.000
Au Hf Sb
1 2 1
direct
0.250 0.250 0.250 Au
0.000 0.000 0.000 Hf
0.750 0.750 0.750 Hf
0.500 0.500 0.500 Sb

no.,E (eV per atom)
1,-7.025
2,-5.369
3,-5.205
4,-4.771
5,-4.753
6,-5.932
7,-5.543
8,-6.639